a:
Compound: KSr2Y
Source: the Alexandria database
Functional: PBE
Structure: relaxed

The mass density is 2.6 Mg/m³. For the density of states at the Fermi level, the calculation gives 0.94 states/eV/atom. As for the size of the total moment: 0.0 Bohr magnetons per cell.

The space group is Fm-3m (No. 225) and the conventional cell measures 9.196, 9.196 and 9.196 Å, with angles of 90.00, 90.00 and 90.00 degrees. Symmetry generates all atoms from K at (0.000, 0.000, 0.000), Sr at (0.250, 0.250, 0.250) and Y at (0.000, 0.000, 0.500).

b:
Compound: KSr2Y
Source: the Alexandria database
Functional: PBE
Structure: relaxed

The mass density is 2.6 Mg/m³. For the density of states at the Fermi level, the calculation gives 1.40 states/eV/atom. As for the size of the total moment: 0.0 Bohr magnetons per cell.

The space group is I-4m2 (No. 119) and the conventional cell measures 5.646, 5.646 and 12.317 Å, with angles of 90.00, 90.00 and 90.00 degrees. Symmetry generates all atoms from K at (0.000, 0.000, 0.000), Sr at (0.000, 0.000, 0.500), Sr at (0.000, 0.500, 0.750) and Y at (0.000, 0.500, 0.250).

Unit: meV per atom. Relative energies: a 0; b 27.

a:
Compound: KSr2Y2
Source: the Alexandria database
Functional: PBE
Structure: relaxed

The mass density is 2.7 Mg/m³. For the density of states at the Fermi level, the calculation gives 1.32 states/eV/atom. As for the size of the total moment: 4.4 Bohr magnetons per cell.

The space group is P4/mbm (No. 127) and the conventional cell measures 11.128, 11.128 and 3.862 Å, with angles of 90.00, 90.00 and 90.00 degrees. Symmetry generates all atoms from K at (0.000, 0.000, 0.000), Sr at (0.178, 0.322, 0.000) and Y at (0.108, 0.608, 0.500).

b:
Compound: KSr2Y2
Source: the Alexandria database
Functional: PBE
Structure: relaxed

The mass density is 2.7 Mg/m³. For the density of states at the Fermi level, the calculation gives 0.94 states/eV/atom. As for the size of the total moment: 3.9 Bohr magnetons per cell.

The space group is P4/mbm (No. 127) and the conventional cell measures 11.024, 11.024 and 3.936 Å, with angles of 90.00, 90.00 and 90.00 degrees. Symmetry generates all atoms from K at (0.000, 0.000, 0.000), Sr at (0.180, 0.320, 0.500) and Y at (0.107, 0.607, 0.000).

Unit: meV per atom. Relative energies: a 22; b 0.

a:
Compound: KSr3Zn
Source: the Alexandria database
Functional: PBE
Structure: relaxed

The mass density is 2.4 Mg/m³. For the density of states at the Fermi level, the calculation gives 0.92 states/eV/atom. As for the size of the total moment: 0.0 Bohr magnetons per cell.

The space group is Pm-3m (No. 221) and the conventional cell measures 6.363, 6.363 and 6.363 Å, with angles of 90.00, 90.00 and 90.00 degrees. Symmetry generates all atoms from K at (0.000, 0.000, 0.000), Sr at (0.000, 0.500, 0.500) and Zn at (0.500, 0.500, 0.500).

b:
Compound: KSr3Zn
Source: the Alexandria database
Functional: PBE
Structure: relaxed

The mass density is 1.6 Mg/m³. For the density of states at the Fermi level, the calculation gives 1.43 states/eV/atom. As for the size of the total moment: 0.0 Bohr magnetons per cell.

The space group is Pm-3m (No. 221) and the conventional cell measures 7.282, 7.282 and 7.282 Å, with angles of 90.00, 90.00 and 90.00 degrees. Symmetry generates all atoms from K at (0.000, 0.000, 0.000), Sr at (0.000, 0.000, 0.500) and Zn at (0.500, 0.500, 0.500).

Unit: meV per atom. Relative energies: a 0; b 828.